No. 1
Computed, not measured: a relaxed ThHgSe2 crystal at the PBE level of DFT. Values from VASP.

Summary:
DOS(E_F) = 0.00 states/eV per cell
ρ = 6.20 g/cm3
ΔE_f (raw) = -1.240 eV per atom
Symmetry = P2_1/m, No. 11

Cell and atoms, written as Quantum ESPRESSO input:
```
&SYSTEM
  ibrav = 0, nat = 8, ntyp = 3
/
ATOMIC_SPECIES
Th 232.04 Th.upf
Hg 200.59 Hg.upf
Se 78.96 Se.upf
ATOMIC_POSITIONS crystal
Th 0.2491 0.2500 0.4986
Th 0.7509 0.7500 0.5014
Hg 0.3116 0.7500 0.9961
Hg 0.6884 0.2500 0.0039
Se 0.0168 0.7500 0.3432
Se 0.4801 0.7500 0.6551
Se 0.5199 0.2500 0.3449
Se 0.9832 0.2500 0.6568
CELL_PARAMETERS angstrom
7.5159 0.0000 0.0000
0.0000 4.3426 0.0000
-3.1357 0.0000 9.6861
```

No. 2
Computed, not measured: a relaxed Th2HgSe crystal at the PBE level of DFT. Values from VASP.

Summary:
DOS(E_F) = 3.13 states/eV per cell
E above lowest polymorph = 0.00 kJ per mole of atoms
ρ = 10.64 g/cm3
ΔE_f (raw) = -0.783 eV per atom
Symmetry = R-3m, No. 166

Cell and atoms, written as Quantum ESPRESSO input:
```
&SYSTEM
  ibrav = 0, nat = 4, ntyp = 3
/
ATOMIC_SPECIES
Th 232.04 Th.upf
Hg 200.59 Hg.upf
Se 78.96 Se.upf
ATOMIC_POSITIONS crystal
Th 0.2417 0.2417 0.2417
Th 0.7583 0.7583 0.7583
Hg 0.0000 0.0000 0.0000
Se 0.5000 0.5000 0.5000
CELL_PARAMETERS angstrom
2.0791 1.2004 7.7501
-2.0791 1.2004 7.7501
0.0000 -2.4007 7.7501
```

No. 3
Computed, not measured: a relaxed ThTl2HgSe4 crystal at the PBE level of DFT. Values from VASP.

Summary:
DOS(E_F) = 0.10 states/eV per cell
ρ = 7.83 g/cm3
ΔE_f (raw) = -0.824 eV per atom
Symmetry = P2/m, No. 10

Cell and atoms, written as Quantum ESPRESSO input:
```
&SYSTEM
  ibrav = 0, nat = 8, ntyp = 4
/
ATOMIC_SPECIES
Th 232.04 Th.upf
Tl 204.38 Tl.upf
Hg 200.59 Hg.upf
Se 78.96 Se.upf
ATOMIC_POSITIONS crystal
Th 0.0000 0.0000 0.0000
Tl 0.0000 0.5000 0.5000
Tl 0.5000 0.0000 0.5000
Hg 0.5000 0.5000 0.0000
Se 0.2168 0.5000 0.2229
Se 0.2677 0.0000 0.8034
Se 0.7323 0.0000 0.1966
Se 0.7832 0.5000 0.7771
CELL_PARAMETERS angstrom
7.4353 0.0000 0.0000
0.0000 4.2469 0.0000
-2.8601 0.0000 7.7678
```

No. 4
Computed, not measured: a relaxed Th2Tl3HgSe6 crystal at the PBE level of DFT. Values from VASP.

Summary:
DOS(E_F) = 3.50 states/eV per cell
ρ = 7.64 g/cm3
ΔE_f (raw) = -0.989 eV per atom
Symmetry = C2/m, No. 12

Cell and atoms, written as Quantum ESPRESSO input:
```
&SYSTEM
  ibrav = 0, nat = 12, ntyp = 4
/
ATOMIC_SPECIES
Th 232.04 Th.upf
Tl 204.38 Tl.upf
Hg 200.59 Hg.upf
Se 78.96 Se.upf
ATOMIC_POSITIONS crystal
Th 0.1668 0.1668 0.3252
Th 0.8332 0.8332 0.6748
Tl 0.1518 0.1518 0.8330
Tl 0.5000 0.5000 0.5000
Tl 0.8482 0.8482 0.1670
Hg 0.5000 0.5000 0.0000
Se 0.0216 0.0216 0.2487
Se 0.3196 0.3196 0.8786
Se 0.3235 0.3235 0.4452
Se 0.6765 0.6765 0.5548
Se 0.6804 0.6804 0.1214
Se 0.9784 0.9784 0.7513
CELL_PARAMETERS angstrom
10.0124 -2.1471 0.0000
10.0124 2.1471 0.0000
-2.3498 0.0000 8.8600
```

No. 5
Computed, not measured: a relaxed Ti2HgSe2 crystal at the PBE level of DFT. Values from VASP.

Summary:
DOS(E_F) = 5.08 states/eV per cell
E above lowest polymorph = 0.00 kJ per mole of atoms
ρ = 6.78 g/cm3
ΔE_f (raw) = -0.607 eV per atom
Symmetry = I4/mmm, No. 139

Cell and atoms, written as Quantum ESPRESSO input:
```
&SYSTEM
  ibrav = 0, nat = 5, ntyp = 3
/
ATOMIC_SPECIES
Ti 47.87 Ti.upf
Hg 200.59 Hg.upf
Se 78.96 Se.upf
ATOMIC_POSITIONS crystal
Ti 0.2500 0.7500 0.5000
Ti 0.7500 0.2500 0.5000
Hg 0.0000 0.0000 0.0000
Se 0.3565 0.3565 0.0000
Se 0.6435 0.6435 0.0000
CELL_PARAMETERS angstrom
-2.2289 2.2289 5.5988
2.2289 -2.2289 5.5988
2.2289 2.2289 -5.5988
```

No. 6
Computed, not measured: a relaxed Ti2Hg2Se crystal at the PBE level of DFT. Values from VASP.

Summary:
DOS(E_F) = 4.45 states/eV per cell
ρ = 9.52 g/cm3
ΔE_f (raw) = -0.324 eV per atom
Symmetry = P4/mbm, No. 127

Cell and atoms, written as Quantum ESPRESSO input:
```
&SYSTEM
  ibrav = 0, nat = 10, ntyp = 3
/
ATOMIC_SPECIES
Ti 47.87 Ti.upf
Hg 200.59 Hg.upf
Se 78.96 Se.upf
ATOMIC_POSITIONS crystal
Ti 0.1560 0.3440 0.0000
Ti 0.3440 0.8440 0.0000
Ti 0.6560 0.1560 0.0000
Ti 0.8440 0.6560 0.0000
Hg 0.1564 0.6564 0.5000
Hg 0.3436 0.1564 0.5000
Hg 0.6564 0.8436 0.5000
Hg 0.8436 0.3436 0.5000
Se 0.0000 0.0000 0.0000
Se 0.5000 0.5000 0.0000
CELL_PARAMETERS angstrom
6.6046 0.0000 0.0000
0.0000 6.6046 0.0000
0.0000 0.0000 4.6049
```

No. 7
Computed, not measured: a relaxed TiHg2Se2 crystal at the PBE level of DFT. Values from VASP.

Summary:
DOS(E_F) = 4.75 states/eV per cell
ρ = 7.56 g/cm3
ΔE_f (raw) = -0.227 eV per atom
Symmetry = P4/mbm, No. 127

Cell and atoms, written as Quantum ESPRESSO input:
```
&SYSTEM
  ibrav = 0, nat = 10, ntyp = 3
/
ATOMIC_SPECIES
Ti 47.87 Ti.upf
Hg 200.59 Hg.upf
Se 78.96 Se.upf
ATOMIC_POSITIONS crystal
Ti 0.0000 0.0000 0.0000
Ti 0.5000 0.5000 0.0000
Hg 0.1718 0.3282 0.5000
Hg 0.3282 0.8282 0.5000
Hg 0.6718 0.1718 0.5000
Hg 0.8282 0.6718 0.5000
Se 0.1565 0.6565 0.0000
Se 0.3435 0.1565 0.0000
Se 0.6565 0.8435 0.0000
Se 0.8435 0.3435 0.0000
CELL_PARAMETERS angstrom
6.5200 0.0000 0.0000
0.0000 6.5200 0.0000
0.0000 0.0000 6.2759
```

No. 8
Computed, not measured: a relaxed TiHg3Se crystal at the PBE level of DFT. Values from VASP.

Summary:
DOS(E_F) = 4.44 states/eV per cell
E above lowest polymorph = 0.00 kJ per mole of atoms
ρ = 7.83 g/cm3
ΔE_f (raw) = 0.609 eV per atom
Symmetry = Pm-3m, No. 221

Cell and atoms, written as Quantum ESPRESSO input:
```
&SYSTEM
  ibrav = 0, nat = 5, ntyp = 3
/
ATOMIC_SPECIES
Ti 47.87 Ti.upf
Hg 200.59 Hg.upf
Se 78.96 Se.upf
ATOMIC_POSITIONS crystal
Ti 0.0000 0.0000 0.0000
Hg 0.0000 0.0000 0.5000
Hg 0.0000 0.5000 0.0000
Hg 0.5000 0.0000 0.0000
Se 0.5000 0.5000 0.5000
CELL_PARAMETERS angstrom
5.3651 0.0000 0.0000
0.0000 5.3651 0.0000
0.0000 0.0000 5.3651
```

No. 9
Computed, not measured: a relaxed Ti2HgSe4 crystal at the PBE level of DFT. Values from VASP.

Summary:
DOS(E_F) = 1.23 states/eV per cell
ρ = 4.90 g/cm3
ΔE_f (raw) = -0.943 eV per atom
Symmetry = C2/m, No. 12

Cell and atoms, written as Quantum ESPRESSO input:
```
&SYSTEM
  ibrav = 0, nat = 7, ntyp = 3
/
ATOMIC_SPECIES
Ti 47.87 Ti.upf
Hg 200.59 Hg.upf
Se 78.96 Se.upf
ATOMIC_POSITIONS crystal
Ti 0.2503 0.2503 0.2502
Ti 0.7497 0.7497 0.7498
Hg 0.0000 0.0000 0.0000
Se 0.1688 0.1688 0.8456
Se 0.3309 0.3309 0.6554
Se 0.6691 0.6691 0.3446
Se 0.8312 0.8312 0.1544
CELL_PARAMETERS angstrom
9.9578 -1.7674 0.0000
9.9578 1.7674 0.0000
-1.6663 0.0000 5.8921
```

No. 10
Computed, not measured: a relaxed TiHg3Se crystal at the PBE level of DFT. Values from VASP.

Summary:
DOS(E_F) = 4.02 states/eV per cell
E above lowest polymorph = 20.89 kJ per mole of atoms
ρ = 7.66 g/cm3
ΔE_f (raw) = 0.825 eV per atom
Symmetry = Pm-3m, No. 221

Cell and atoms, written as Quantum ESPRESSO input:
```
&SYSTEM
  ibrav = 0, nat = 5, ntyp = 3
/
ATOMIC_SPECIES
Ti 47.87 Ti.upf
Hg 200.59 Hg.upf
Se 78.96 Se.upf
ATOMIC_POSITIONS crystal
Ti 0.0000 0.0000 0.0000
Hg 0.0000 0.5000 0.5000
Hg 0.5000 0.0000 0.5000
Hg 0.5000 0.5000 0.0000
Se 0.5000 0.5000 0.5000
CELL_PARAMETERS angstrom
5.4046 0.0000 0.0000
0.0000 5.4046 0.0000
0.0000 0.0000 5.4046
```

No. 11
Computed, not measured: a relaxed Ti3HgSe crystal at the PBE level of DFT. Values from VASP.

Summary:
DOS(E_F) = 3.52 states/eV per cell
E above lowest polymorph = 0.00 kJ per mole of atoms
ρ = 6.84 g/cm3
ΔE_f (raw) = 0.011 eV per atom
Symmetry = Pm-3m, No. 221

Cell and atoms, written as Quantum ESPRESSO input:
```
&SYSTEM
  ibrav = 0, nat = 5, ntyp = 3
/
ATOMIC_SPECIES
Ti 47.87 Ti.upf
Hg 200.59 Hg.upf
Se 78.96 Se.upf
ATOMIC_POSITIONS crystal
Ti 0.0000 0.0000 0.5000
Ti 0.0000 0.5000 0.0000
Ti 0.5000 0.0000 0.0000
Hg 0.5000 0.5000 0.5000
Se 0.0000 0.0000 0.0000
CELL_PARAMETERS angstrom
4.6843 0.0000 0.0000
0.0000 4.6843 0.0000
0.0000 0.0000 4.6843
```

No. 12
Computed, not measured: a relaxed TiHgSe crystal at the PBE level of DFT. Values from VASP.

Summary:
DOS(E_F) = 3.80 states/eV per cell
ρ = 8.36 g/cm3
ΔE_f (raw) = -0.388 eV per atom
Symmetry = P-6m2, No. 187

Cell and atoms, written as Quantum ESPRESSO input:
```
&SYSTEM
  ibrav = 0, nat = 6, ntyp = 3
/
ATOMIC_SPECIES
Ti 47.87 Ti.upf
Hg 200.59 Hg.upf
Se 78.96 Se.upf
ATOMIC_POSITIONS crystal
Ti 0.0000 0.0000 0.0000
Ti 0.3333 0.6667 0.5000
Hg 0.0000 0.0000 0.3331
Hg 0.0000 0.0000 0.6669
Se 0.3333 0.6667 0.1304
Se 0.3333 0.6667 0.8696
CELL_PARAMETERS angstrom
3.4862 0.0000 0.0000
-1.7431 3.0191 0.0000
0.0000 0.0000 12.3622
```